# 1
DFT (GGA-PBE) results for Tm2HfV after structural relaxation.

Output
Calculated formation energy   1.6 eV/f.u.
Total moment   0.5681 μB/atom
Calculated volume   95 Å³/f.u.
D(E_F)   7.0 states/eV/f.u.
ρ   9.9 g cm⁻³
Calculated total energy   -0.486 Ry/atom

Lattice parameters (Å, degrees): 5.1287 5.1287 5.1287 60.00 60.00 60.00
Closest atoms and distances in Å follow each position.
Element x y z (fractional)
Tm1 0.2500 0.2500 0.2500  4 Hf 3.14, 4 V 3.14
Tm2 0.7500 0.7500 0.7500  4 Hf 3.14, 4 V 3.14
Hf1 0.0000 0.0000 0.0000  8 Tm 3.14
V1 0.5000 0.5000 0.5000  8 Tm 3.14

# 2
DFT (GGA-PBE) results for YTmHf2 after structural relaxation.

Output
Calculated formation energy   0.7 eV/f.u.
Total moment   0.0000 μB/atom
Calculated volume   103 Å³/f.u.
D(E_F)   5.6 states/eV/f.u.
ρ   9.9 g cm⁻³
Excess energy over the best structure of this formula in the dataset   0.00 kJ/mol of atoms
Calculated total energy   -0.553 Ry/atom

Lattice parameters (Å, degrees): 11.0820 11.0820 11.0820 17.13 17.13 17.13
Closest atoms and distances in Å follow each position.
Element x y z (fractional)
Y1 0.0000 0.0000 0.0000  6 Y 3.30, 6 Hf 3.35
Tm1 0.5000 0.5000 0.5000  6 Tm 3.30, 6 Hf 3.31
Hf1 0.2491 0.2491 0.2491  6 Hf 3.30, 3 Tm 3.31, 3 Y 3.35
Hf2 0.7509 0.7509 0.7509  6 Hf 3.30, 3 Tm 3.31, 3 Y 3.35

# 3
DFT (GGA-PBE) results for Y12Tm7Hf after structural relaxation.

Output
Calculated formation energy   5.6 eV/f.u.
Total moment   0.0000 μB/atom
Calculated volume   629 Å³/f.u.
D(E_F)   24.6 states/eV/f.u.
ρ   6.4 g cm⁻³
Calculated total energy   -0.416 Ry/atom

Lattice parameters (Å, degrees): 9.8314 9.8314 9.8314 112.69 112.69 112.69
Closest atoms and distances in Å follow each position.
Element x y z (fractional)
Y1 0.0000 0.2836 0.7164  4 Y 3.06-3.36
Y2 0.0000 0.7164 0.2836  4 Y 3.06-3.36
Y3 0.1594 0.1594 0.4557  3 Tm 3.09-3.34, 2 Y 3.36, 1 Hf 3.42
Y4 0.1594 0.4557 0.1594  3 Tm 3.09-3.34, 2 Y 3.36, 1 Hf 3.42
Y5 0.2836 0.0000 0.7164  4 Y 3.06-3.36
Y6 0.2836 0.7164 0.0000  4 Y 3.06-3.36
Y7 0.4557 0.1594 0.1594  3 Tm 3.09-3.34, 2 Y 3.36, 1 Hf 3.42
Y8 0.5443 0.8406 0.8406  3 Tm 3.09-3.34, 2 Y 3.36, 1 Hf 3.42
Y9 0.7164 0.0000 0.2836  4 Y 3.06-3.36
Y10 0.7164 0.2836 0.0000  4 Y 3.06-3.36
Y11 0.8406 0.5443 0.8406  3 Tm 3.09-3.34, 2 Y 3.36, 1 Hf 3.42
Y12 0.8406 0.8406 0.5443  3 Tm 3.09-3.34, 2 Y 3.36, 1 Hf 3.42
Tm1 0.0000 0.0000 0.0000  6 Y 3.50
Tm2 0.1079 0.4482 0.4482  1 Tm 3.02, 3 Y 3.09-3.34
Tm3 0.4482 0.1079 0.4482  1 Tm 3.02, 3 Y 3.09-3.34
Tm4 0.4482 0.4482 0.1079  1 Tm 3.02, 3 Y 3.09-3.34
Tm5 0.5518 0.5518 0.8921  1 Tm 3.02, 3 Y 3.09-3.34
Tm6 0.5518 0.8921 0.5518  1 Tm 3.02, 3 Y 3.09-3.34
Tm7 0.8921 0.5518 0.5518  1 Tm 3.02, 3 Y 3.09-3.34
Hf1 0.5000 0.5000 0.5000  6 Y 3.42, 6 Tm 3.49

# 4
DFT (GGA-PBE) results for YTmHf after structural relaxation.

Output
Calculated formation energy   0.4 eV/f.u.
Total moment   0.0000 μB/atom
Calculated volume   83 Å³/f.u.
D(E_F)   3.8 states/eV/f.u.
ρ   8.8 g cm⁻³
Excess energy over the best structure of this formula in the dataset   1.44 kJ/mol of atoms
Calculated total energy   -0.502 Ry/atom

Lattice parameters (Å, degrees): 3.3764 3.3764 8.3790 90.00 90.00 120.00
Closest atoms and distances in Å follow each position.
Element x y z (fractional)
Y1 0.0000 0.0000 0.0000  3 Hf 3.30, 6 Y 3.38, 3 Tm 3.67
Tm1 0.3333 0.6667 0.6282  3 Hf 3.25, 6 Tm 3.38
Hf1 0.6667 0.3333 0.3175  3 Tm 3.25, 3 Y 3.30, 6 Hf 3.38

# 5
DFT (GGA-PBE) results for Y2TmHf after structural relaxation.

Output
Calculated formation energy   0.6 eV/f.u.
Total moment   0.0000 μB/atom
Calculated volume   114 Å³/f.u.
D(E_F)   5.6 states/eV/f.u.
ρ   7.7 g cm⁻³
Excess energy over the best structure of this formula in the dataset   2.99 kJ/mol of atoms
Calculated total energy   -0.492 Ry/atom

Lattice parameters (Å, degrees): 4.8469 4.8469 4.8332 90.00 90.00 90.00
Closest atoms and distances in Å follow each position.
Element x y z (fractional)
Y1 0.0000 0.5000 0.0000  4 Hf 3.42, 4 Tm 3.42, 4 Y 3.43
Y2 0.5000 0.0000 0.0000  4 Hf 3.42, 4 Tm 3.42, 4 Y 3.43
Tm1 0.0000 0.0000 0.5000  8 Y 3.42, 4 Hf 3.43
Hf1 0.5000 0.5000 0.5000  8 Y 3.42, 4 Tm 3.43

# 6
DFT (GGA-PBE) results for Y2TmHf after structural relaxation.

Output
Calculated formation energy   0.5 eV/f.u.
Total moment   0.0000 μB/atom
Calculated volume   114 Å³/f.u.
D(E_F)   5.7 states/eV/f.u.
ρ   7.6 g cm⁻³
Excess energy over the best structure of this formula in the dataset   0.96 kJ/mol of atoms
Calculated total energy   -0.493 Ry/atom

Lattice parameters (Å, degrees): 11.4594 11.4594 11.4594 17.17 17.17 17.17
Closest atoms and distances in Å follow each position.
Element x y z (fractional)
Y1 0.2449 0.2449 0.2449  3 Hf 3.31, 6 Y 3.42, 3 Tm 3.59
Y2 0.7551 0.7551 0.7551  3 Hf 3.31, 6 Y 3.42, 3 Tm 3.59
Tm1 0.0000 0.0000 0.0000  6 Tm 3.42, 6 Y 3.59
Hf1 0.5000 0.5000 0.5000  6 Y 3.31, 6 Hf 3.42

# 7
DFT (GGA-PBE) results for YTm2Hf after structural relaxation.

Output
Calculated formation energy   0.4 eV/f.u.
Total moment   0.0115 μB/atom
Calculated volume   112 Å³/f.u.
D(E_F)   6.5 states/eV/f.u.
ρ   8.9 g cm⁻³
Excess energy over the best structure of this formula in the dataset   0.00 kJ/mol of atoms
Calculated total energy   -0.459 Ry/atom

Lattice parameters (Å, degrees): 11.2714 11.2714 11.2714 17.46 17.46 17.46
Closest atoms and distances in Å follow each position.
Element x y z (fractional)
Y1 0.0000 0.0000 0.0000  6 Y 3.42, 6 Tm 3.55-3.57
Tm1 0.2449 0.2449 0.2449  3 Hf 3.25, 6 Tm 3.42, 3 Y 3.55
Tm2 0.4226 0.4226 0.4226  3 Hf 3.26, 6 Tm 3.42, 3 Y 3.57
Hf1 0.8340 0.8340 0.8340  6 Tm 3.25-3.26, 6 Hf 3.42

# 8
DFT (GGA-PBE) results for YTmHf after structural relaxation.

Output
Calculated formation energy   0.3 eV/f.u.
Total moment   0.0000 μB/atom
Calculated volume   83 Å³/f.u.
D(E_F)   4.3 states/eV/f.u.
ρ   8.7 g cm⁻³
Excess energy over the best structure of this formula in the dataset   0.00 kJ/mol of atoms
Calculated total energy   -0.503 Ry/atom

Lattice parameters (Å, degrees): 7.7219 7.7219 7.7219 154.84 154.84 35.88
Closest atoms and distances in Å follow each position.
Element x y z (fractional)
Y1 0.0000 0.0000 0.0000  4 Hf 3.32, 4 Y 3.36, 4 Tm 3.67
Tm1 0.3097 0.3097 0.0000  4 Hf 3.26, 4 Tm 3.36
Hf1 0.6578 0.6578 0.0000  4 Tm 3.26, 4 Y 3.32, 4 Hf 3.36

# 9
DFT (GGA-PBE) results for YTmHf after structural relaxation.

Output
Calculated formation energy   0.5 eV/f.u.
Total moment   0.0000 μB/atom
Calculated volume   82 Å³/f.u.
D(E_F)   5.0 states/eV/f.u.
ρ   8.8 g cm⁻³
Excess energy over the best structure of this formula in the dataset   5.96 kJ/mol of atoms
Calculated total energy   -0.499 Ry/atom

Lattice parameters (Å, degrees): 9.7224 9.7224 5.1758 90.00 90.00 160.41
Closest atoms and distances in Å follow each position.
Element x y z (fractional)
Y1 0.2056 0.7944 0.7500  1 Tm 3.15, 6 Y 3.31-3.51, 1 Hf 3.46
Y2 0.7944 0.2056 0.2500  1 Tm 3.15, 6 Y 3.31-3.51, 1 Hf 3.46
Tm1 0.0412 0.9588 0.7500  4 Tm 3.03-3.31, 1 Y 3.15, 4 Hf 3.37
Tm2 0.9588 0.0412 0.2500  4 Tm 3.03-3.31, 1 Y 3.15, 4 Hf 3.37
Hf1 0.3861 0.6139 0.7500  2 Hf 3.31, 6 Tm 3.37-3.40, 5 Y 3.46-3.54
Hf2 0.6139 0.3861 0.2500  2 Hf 3.31, 6 Tm 3.37-3.40, 5 Y 3.46-3.54

# 10
DFT (GGA-PBE) results for YTm2Hf after structural relaxation.

Output
Calculated formation energy   0.6 eV/f.u.
Total moment   0.0000 μB/atom
Calculated volume   111 Å³/f.u.
D(E_F)   5.3 states/eV/f.u.
ρ   9.0 g cm⁻³
Excess energy over the best structure of this formula in the dataset   4.02 kJ/mol of atoms
Calculated total energy   -0.456 Ry/atom

Lattice parameters (Å, degrees): 4.8122 4.8122 4.8142 90.00 90.00 90.00
Closest atoms and distances in Å follow each position.
Element x y z (fractional)
Y1 0.0000 0.0000 0.0000  4 Hf 3.40, 8 Tm 3.40
Tm1 0.0000 0.5000 0.5000  4 Tm 3.40, 4 Hf 3.40, 4 Y 3.40
Tm2 0.5000 0.0000 0.5000  4 Tm 3.40, 4 Hf 3.40, 4 Y 3.40
Hf1 0.5000 0.5000 0.0000  4 Y 3.40, 8 Tm 3.40

# 11
DFT (GGA-PBE) results for Y2TmHf after structural relaxation.

Output
Calculated formation energy   0.9 eV/f.u.
Total moment   0.0000 μB/atom
Calculated volume   115 Å³/f.u.
D(E_F)   7.4 states/eV/f.u.
ρ   7.6 g cm⁻³
Excess energy over the best structure of this formula in the dataset   10.70 kJ/mol of atoms
Calculated total energy   -0.486 Ry/atom

Lattice parameters (Å, degrees): 3.9955 3.9955 7.2171 90.00 90.00 90.00
Closest atoms and distances in Å follow each position.
Element x y z (fractional)
Y1 0.0000 0.0000 0.2265  4 Hf 3.26, 1 Y 3.27, 4 Tm 3.45
Y2 0.0000 0.0000 0.7735  4 Hf 3.26, 1 Y 3.27, 4 Tm 3.45
Tm1 0.5000 0.5000 0.5000  8 Y 3.45, 2 Hf 3.61
Hf1 0.5000 0.5000 0.0000  8 Y 3.26, 2 Tm 3.61

# 12
DFT (GGA-PBE) results for YTm2Hf after structural relaxation.

Output
Calculated formation energy   1.5 eV/f.u.
Total moment   0.0002 μB/atom
Calculated volume   114 Å³/f.u.
D(E_F)   7.1 states/eV/f.u.
ρ   8.8 g cm⁻³
Excess energy over the best structure of this formula in the dataset   25.93 kJ/mol of atoms
Calculated total energy   -0.439 Ry/atom

Lattice parameters (Å, degrees): 12.0782 12.0782 12.0782 15.79 15.79 15.79
Closest atoms and distances in Å follow each position.
Element x y z (fractional)
Y1 0.0000 0.0000 0.0000  6 Y 3.32, 6 Tm 3.45
Tm1 0.4134 0.4134 0.4134  1 Hf 3.10, 6 Tm 3.32, 3 Y 3.45
Tm2 0.5866 0.5866 0.5866  1 Hf 3.10, 6 Tm 3.32, 3 Y 3.45
Hf1 0.5000 0.5000 0.5000  2 Tm 3.10, 6 Hf 3.32